Record 1
## Gd3Al2 (PBE-GGA)

Data for a relaxed structure of Gd3Al2.

## Properties
- Calculated volume: 30.922 Å³ per atom
- Symmetry: R-3c, No. 167
- Total moment: 0.503 μB per formula unit
- Energy relative to the lowest polymorph listed for this composition: 0.3639 eV per atom

```
Gd3Al2
1.0
3.2416 1.8715 8.4949
-3.2416 1.8715 8.4949
0.0000 -3.7431 8.4949
Gd Al
6 4
Direct
0.0778 0.7500 0.4222
0.2500 0.5778 0.9222
0.4222 0.0778 0.7500
0.5778 0.9222 0.2500
0.7500 0.4222 0.0778
0.9222 0.2500 0.5778
0.1648 0.1648 0.1648
0.3352 0.3352 0.3352
0.6648 0.6648 0.6648
0.8352 0.8352 0.8352
```

=====

Record 2
## Y2FeB2 (PBE-GGA)

Data for a relaxed structure of Y2FeB2.

## Properties
- Calculated volume: 15.822 Å³ per atom
- Final energy: -7.100 eV/atom
- Symmetry: Cmmm, No. 65
- Total moment: 1.340 μB per formula unit

```
Y2FeB2
1.0
1.6006 -6.7532 0.0000
1.6006 6.7532 0.0000
0.0000 0.0000 3.6594
Y Fe B
2 1 2
Direct
0.1288 0.8712 0.0000
0.8712 0.1288 0.0000
0.5000 0.5000 0.5000
0.2735 0.7265 0.5000
0.7265 0.2735 0.5000
```

=====

Record 3
## LiPuIr (PBE-GGA)

Data for a relaxed structure of LiPuIr.

## Properties
- Calculated volume: 21.312 Å³ per atom
- Symmetry: F-43m, No. 216
- Total moment: 5.605 μB per formula unit
- Energy relative to the lowest polymorph listed for this composition: 0.4014 eV per atom

```
LiPuIr
1.0
0.0000 3.1737 3.1737
3.1737 0.0000 3.1737
3.1737 3.1737 0.0000
Li Pu Ir
1 1 1
Direct
0.0000 0.0000 0.0000
0.7500 0.7500 0.7500
0.5000 0.5000 0.5000
```

=====

Record 4
## Li4TlCdNi2 (PBE-GGA)

Data for a relaxed structure of Li4TlCdNi2.

## Properties
- Calculated volume: 14.774 Å³ per atom
- Final energy: -2.860 eV/atom
- Symmetry: P-4m2, No. 115
- Total moment: 0.003 μB per formula unit

```
Li4TlCdNi2
1.0
4.3732 0.0000 0.0000
0.0000 4.3732 0.0000
0.0000 0.0000 6.1797
Li Tl Cd Ni
4 1 1 2
Direct
0.0000 0.0000 0.0000
0.0000 0.5000 0.2450
0.5000 0.0000 0.7550
0.5000 0.5000 0.5000
0.0000 0.0000 0.5000
0.5000 0.5000 0.0000
0.0000 0.5000 0.7500
0.5000 0.0000 0.2500
```

=====

Record 5
## TcAgO3 (PBE-GGA)

Data for a relaxed structure of TcAgO3.

## Properties
- Calculated volume: 11.581 Å³ per atom
- Final energy: -6.488 eV/atom
- Symmetry: P4mm, No. 99
- Total moment: 0.006 μB per formula unit

```
TcAgO3
1.0
3.8582 0.0000 0.0000
0.0000 3.8582 0.0000
0.0000 0.0000 3.8901
Tc Ag O
1 1 3
Direct
0.0000 0.0000 0.0000
0.5000 0.5000 0.4969
0.0000 0.0000 0.4997
0.0000 0.5000 0.0007
0.5000 0.0000 0.0007
```

=====

Record 6
## LiDyTe (PBE-GGA)

Data for a relaxed structure of LiDyTe.

## Properties
- Calculated volume: 27.110 Å³ per atom
- Symmetry: F-43m, No. 216
- Total moment: 0.001 μB per formula unit
- Energy relative to the lowest polymorph listed for this composition: 0.0000 eV per atom

```
LiDyTe
1.0
0.0000 3.4388 3.4388
3.4388 0.0000 3.4388
3.4388 3.4388 0.0000
Li Dy Te
1 1 1
Direct
0.0000 0.0000 0.0000
0.5000 0.5000 0.5000
0.7500 0.7500 0.7500
```

=====

Record 7
## Cu5Ag4 (PBE-GGA)

Data for a relaxed structure of Cu5Ag4.

## Properties
- Calculated volume: 14.671 Å³ per atom
- Symmetry: Immm, No. 71
- Formation energy: 0.108 eV per atom
- Energy relative to the lowest polymorph listed for this composition: 0.0671 eV per atom

```
Cu5Ag4
1.0
-1.3995 4.1026 5.7491
1.3995 -4.1026 5.7491
1.3995 4.1026 -5.7491
Cu Ag
5 4
Direct
0.0000 0.0000 0.0000
0.0033 0.6642 0.3392
0.3250 0.6642 0.6608
0.6750 0.3358 0.3392
0.9967 0.3358 0.6608
0.3208 0.0000 0.3208
0.3239 0.3239 0.0000
0.6761 0.6761 0.0000
0.6792 0.0000 0.6792
```

=====

Record 8
## NdLuZn2Sn2 (PBE-GGA)

Data for a relaxed structure of NdLuZn2Sn2.

## Properties
- Calculated volume: 23.551 Å³ per atom
- Symmetry: P6_3/mmc, No. 194
- Total moment: 0.004 μB per formula unit
- Energy relative to the lowest polymorph listed for this composition: 0.0000 eV per atom

```
NdLuZn2Sn2
1.0
4.5086 0.0000 0.0000
-2.2543 3.9045 0.0000
0.0000 0.0000 16.0540
Nd Lu Zn Sn
2 2 4 4
Direct
0.0000 0.0000 0.0000
0.0000 0.0000 0.5000
0.0000 0.0000 0.2500
0.0000 0.0000 0.7500
0.3333 0.6667 0.1649
0.3333 0.6667 0.3351
0.6667 0.3333 0.6649
0.6667 0.3333 0.8351
0.3333 0.6667 0.6192
0.3333 0.6667 0.8808
0.6667 0.3333 0.1192
0.6667 0.3333 0.3808
```